# Os4W2Au, relaxed, DFT PBE-GGA
data_Os4W2Au
_chemical_formula_sum 'Os8 W4 Au2'
_symmetry_space_group_name_H-M 'I 4/m m m'
_symmetry_Int_Tables_number 139
_symmetry_space_group_name_Hall '-I 4 2'
_cell_length_a 4.786
_cell_length_b 4.786
_cell_length_c 12.761
_cell_angle_alpha 90.00
_cell_angle_beta 90.00
_cell_angle_gamma 90.00
loop_
_atom_site_label
_atom_site_type_symbol
_atom_site_fract_x
_atom_site_fract_y
_atom_site_fract_z
Os1 Os 0.000 0.000 0.215
Os2 Os 0.000 0.500 0.000
W1 W 0.000 0.000 0.394
Au1 Au 0.000 0.000 0.000
# N(E_F)   17.40 states/eV/cell
# Energy of formation   219.2 kJ/mol of atoms



# Ca3LaSc, relaxed, DFT PBE-GGA
data_Ca3LaSc
_chemical_formula_sum 'Ca3 La1 Sc1'
_symmetry_space_group_name_H-M 'P m -3 m'
_symmetry_Int_Tables_number 221
_symmetry_space_group_name_Hall '-P 4 2 3'
_cell_length_a 5.789
_cell_length_b 5.789
_cell_length_c 5.789
_cell_angle_alpha 90.00
_cell_angle_beta 90.00
_cell_angle_gamma 90.00
loop_
_atom_site_label
_atom_site_type_symbol
_atom_site_fract_x
_atom_site_fract_y
_atom_site_fract_z
Ca1 Ca 0.000 0.000 0.500
La1 La 0.000 0.000 0.000
Sc1 Sc 0.500 0.500 0.500
# N(E_F)   1.73 states/eV/cell
# Offset from the most stable computed form   295 meV per atom
# Energy of formation   89.5 kJ/mol of atoms